The following is a DFT calculation (PBE) of crystalline PrGa9Pt2 at its relaxed geometry.

For the total DFT energy (no corrections), the calculation gives -4.0575 eV per atom.

Cell lengths 6.7243, 8.8615, 8.8615 Å; angles 92.32, 67.70, 67.70 degrees
Closest atoms and distances in Å follow each position.
Sites, in units of the cell vectors:
Pr: 0.4721 0.0000 0.0000  14 Ga 3.22-3.54, 2 Pt 3.47
Pr: 0.2779 0.5000 0.5000  14 Ga 3.22-3.54, 2 Pt 3.47
Ga: 0.7566 0.5000 0.5000  2 Pt 2.72, 4 Ga 2.79
Ga: 0.9934 0.0000 0.0000  2 Pt 2.72, 4 Ga 2.79
Ga: 0.9832 0.9291 0.6937  3 Ga 2.61-2.79, 2 Pt 2.63-2.76
Ga: 0.6060 0.0709 0.3063  3 Ga 2.61-2.79, 2 Pt 2.63-2.76
Ga: 0.6713 0.1838 0.5651  4 Ga 2.58-2.77, 2 Pt 2.67-2.80
Ga: 0.4202 0.8162 0.4349  4 Ga 2.58-2.77, 2 Pt 2.67-2.80
Ga: 0.7668 0.8063 0.5709  3 Ga 2.61-2.79, 2 Pt 2.63-2.76
Ga: 0.1440 0.1937 0.4291  3 Ga 2.61-2.79, 2 Pt 2.63-2.76
Ga: 0.0787 0.9349 0.3162  4 Ga 2.58-2.77, 2 Pt 2.67-2.80
Ga: 0.3298 0.0651 0.6838  4 Ga 2.58-2.77, 2 Pt 2.67-2.80
Ga: 0.7668 0.5709 0.8063  3 Ga 2.61-2.79, 2 Pt 2.63-2.76
Ga: 0.1440 0.4291 0.1937  3 Ga 2.61-2.79, 2 Pt 2.63-2.76
Ga: 0.0787 0.3162 0.9349  4 Ga 2.58-2.77, 2 Pt 2.67-2.80
Ga: 0.3298 0.6838 0.0651  4 Ga 2.58-2.77, 2 Pt 2.67-2.80
Ga: 0.9832 0.6937 0.9291  3 Ga 2.61-2.79, 2 Pt 2.63-2.76
Ga: 0.6060 0.3063 0.0709  3 Ga 2.61-2.79, 2 Pt 2.63-2.76
Ga: 0.6713 0.5651 0.1838  4 Ga 2.58-2.77, 2 Pt 2.67-2.80
Ga: 0.4202 0.4349 0.8162  4 Ga 2.58-2.77, 2 Pt 2.67-2.80
Pt: 0.8750 0.2500 0.7500  8 Ga 2.63-2.67
Pt: 0.8750 0.7500 0.2500  8 Ga 2.63-2.67
Pt: 0.8750 0.2500 0.2500  10 Ga 2.72-2.80
Pt: 0.3750 0.7500 0.7500  10 Ga 2.72-2.80